1.
TaReTeI2: relaxed, PBEsol.

a b c (Å): 5.0622 5.2761 5.2761
angles (deg): 90.00 90.00 90.00
With the nearest neighbours (Å) after each atom.
Fractional positions:
1 I 0.0000 0.0000 0.5000  2 Re 2.64
2 I 0.0000 0.5000 0.0000  2 Re 2.64
3 Re 0.0000 0.0000 0.0000  2 Te 2.53, 4 I 2.64
4 Te 0.5000 0.0000 0.0000  2 Re 2.53
5 Ta 0.5000 0.5000 0.5000  8 I 3.66, 4 Te 3.73

Values from the calculation:
- final energy (eV/atom) = -4.962
- formation energy without anion corrections (eV per atom) = 1.627

2.
Sc6Si7Ni16: relaxed, PBEsol.

a b c (Å): 7.9925 7.9925 7.9925
angles (deg): 60.00 60.00 60.00
With the nearest neighbours (Å) after each atom.
Fractional positions:
1 Sc 0.2917 0.2917 0.7083  8 Ni 2.73-2.74, 4 Si 2.86
2 Sc 0.7083 0.2917 0.7083  8 Ni 2.73-2.74, 4 Si 2.86
3 Sc 0.7083 0.2917 0.2917  8 Ni 2.73-2.74, 4 Si 2.86
4 Sc 0.7083 0.7083 0.2917  8 Ni 2.73-2.74, 4 Si 2.86
5 Sc 0.2917 0.7083 0.2917  8 Ni 2.73-2.74, 4 Si 2.86
6 Sc 0.2917 0.7083 0.7083  8 Ni 2.73-2.74, 4 Si 2.86
7 Si 0.0000 0.0000 0.0000  8 Ni 2.33
8 Si 0.5000 0.5000 0.0000  8 Ni 2.31-2.49
9 Si 0.0000 0.5000 0.0000  8 Ni 2.31-2.49
10 Si 0.0000 0.5000 0.5000  8 Ni 2.31-2.49
11 Si 0.0000 0.0000 0.5000  8 Ni 2.31-2.49
12 Si 0.5000 0.0000 0.5000  8 Ni 2.31-2.49
13 Si 0.5000 0.0000 0.0000  8 Ni 2.31-2.49
14 Ni 0.8807 0.3578 0.8807  4 Si 2.33-2.49, 3 Ni 2.52
15 Ni 0.8807 0.8807 0.3578  4 Si 2.33-2.49, 3 Ni 2.52
16 Ni 0.8807 0.8807 0.8807  4 Si 2.33-2.49, 3 Ni 2.52
17 Ni 0.3578 0.8807 0.8807  4 Si 2.33-2.49, 3 Ni 2.52
18 Ni 0.1193 0.6422 0.1193  4 Si 2.33-2.49, 3 Ni 2.52
19 Ni 0.1193 0.1193 0.6422  4 Si 2.33-2.49, 3 Ni 2.52
20 Ni 0.1193 0.1193 0.1193  4 Si 2.33-2.49, 3 Ni 2.52
21 Ni 0.6422 0.1193 0.1193  4 Si 2.33-2.49, 3 Ni 2.52
22 Ni 0.6691 0.9927 0.6691  3 Si 2.31, 3 Ni 2.52
23 Ni 0.6691 0.6691 0.9927  3 Si 2.31, 3 Ni 2.52
24 Ni 0.6691 0.6691 0.6691  3 Si 2.31, 3 Ni 2.52
25 Ni 0.9927 0.6691 0.6691  3 Si 2.31, 3 Ni 2.52
26 Ni 0.3309 0.0073 0.3309  3 Si 2.31, 3 Ni 2.52
27 Ni 0.3309 0.3309 0.0073  3 Si 2.31, 3 Ni 2.52
28 Ni 0.3309 0.3309 0.3309  3 Si 2.31, 3 Ni 2.52
29 Ni 0.0073 0.3309 0.3309  3 Si 2.31, 3 Ni 2.52

Values from the calculation:
- final energy (eV/atom) = -6.972
- formation energy without anion corrections (eV per atom) = -0.821

3.
CaTcW2: relaxed, PBEsol.

a b c (Å): 3.0709 4.5456 4.7667
angles (deg): 90.00 90.00 90.00
With the nearest neighbours (Å) after each atom.
Fractional positions:
1 Ca 0.5000 0.0000 0.5000  4 Tc 2.74, 4 W 2.84, 2 Ca 3.07
2 Tc 0.0000 0.5000 0.5000  4 Ca 2.74, 4 W 2.84, 2 Tc 3.07
3 W 0.0000 0.0000 0.0000  6 W 2.74-3.07, 4 Ca 2.84
4 W 0.5000 0.5000 0.0000  6 W 2.74-3.07, 4 Tc 2.84

Values from the calculation:
- final energy (eV/atom) = -9.449
- DFT formation energy (meV per atom) = 804
- E above lowest polymorph (meV/atom) = 91

4.
LiBr3: relaxed, PBEsol.

a b c (Å): 4.9821 5.2250 5.2460
angles (deg): 90.00 90.00 90.00
With the nearest neighbours (Å) after each atom.
Fractional positions:
1 Br 0.2502 0.5000 0.5000  2 Br 2.49
2 Br 0.5000 0.0000 0.0000  2 Li 2.49
3 Br 0.7498 0.5000 0.5000  2 Br 2.49
4 Li 0.0000 0.0000 0.0000  2 Br 2.49

Values from the calculation:
- final energy (eV/atom) = -2.369
- formation energy without anion corrections (eV per atom) = -0.475
- E above lowest polymorph (meV/atom) = 9

5.
MgZn4Co: relaxed, PBEsol.

a b c (Å): 4.8961 4.8961 4.8961
angles (deg): 60.00 60.00 60.00
With the nearest neighbours (Å) after each atom.
Fractional positions:
1 Co 0.7500 0.7500 0.7500  12 Zn 2.87, 4 Mg 3.00
2 Mg 0.0000 0.0000 0.0000  12 Zn 2.87, 4 Co 3.00
3 Zn 0.3758 0.3758 0.3758  6 Zn 2.43-2.46
4 Zn 0.3758 0.3758 0.8727  6 Zn 2.43-2.46
5 Zn 0.8727 0.3758 0.3758  6 Zn 2.43-2.46
6 Zn 0.3758 0.8727 0.3758  6 Zn 2.43-2.46

Values from the calculation:
- final energy (eV/atom) = -2.612
- DFT formation energy (meV per atom) = 19

6.
Sc5Ag: relaxed, PBEsol.

a b c (Å): 3.2045 3.2045 12.9158
angles (deg): 90.00 90.00 90.00
With the nearest neighbours (Å) after each atom.
Fractional positions:
1 Sc 0.0000 0.0000 0.6453  4 Ag 2.94, 8 Sc 3.20-3.23
2 Sc 0.5000 0.5000 0.8239  12 Sc 3.20-3.23
3 Sc 0.0000 0.0000 0.0000  12 Sc 3.20-3.21
4 Sc 0.5000 0.5000 0.1761  12 Sc 3.20-3.23
5 Sc 0.0000 0.0000 0.3547  4 Ag 2.94, 8 Sc 3.20-3.23
6 Ag 0.5000 0.5000 0.5000  8 Sc 2.94, 4 Ag 3.20

Values from the calculation:
- final energy (eV/atom) = -6.106
- DFT formation energy (meV per atom) = -50
- E above lowest polymorph (meV/atom) = 0

7.
BaScAl: relaxed, PBEsol.

a b c (Å): 3.5599 3.5599 8.0167
angles (deg): 90.00 90.00 120.00
With the nearest neighbours (Å) after each atom.
Fractional positions:
1 Sc 0.3333 0.6667 0.2794  3 Al 2.88
2 Ba 0.6667 0.3333 0.6933  3 Al 3.38, 6 Ba 3.56
3 Al 0.0000 0.0000 0.0272  3 Sc 2.88

Values from the calculation:
- final energy (eV/atom) = -4.068
- DFT formation energy (meV per atom) = 214
- E above lowest polymorph (meV/atom) = 82

8.
Sb2TeRhPb: relaxed, PBEsol.

a b c (Å): 5.5459 5.5459 5.6437
angles (deg): 90.00 90.00 90.00
With the nearest neighbours (Å) after each atom.
Fractional positions:
1 Pb 0.0000 0.0000 0.0000  4 Sb 2.77, 2 Te 2.82
2 Sb 0.0000 0.5000 0.0000  2 Pb 2.77
3 Sb 0.5000 0.0000 0.0000  2 Pb 2.77
4 Te 0.0000 0.0000 0.5000  2 Pb 2.82
5 Rh 0.5000 0.5000 0.5000  4 Te 3.92, 8 Sb 3.96

Values from the calculation:
- final energy (eV/atom) = -3.351
- formation energy without anion corrections (eV per atom) = 1.605

9.
CuHg3Br: relaxed, PBEsol.

a b c (Å): 5.6217 5.6217 5.6217
angles (deg): 90.00 90.00 90.00
With the nearest neighbours (Å) after each atom.
Fractional positions:
1 Cu 0.5000 0.5000 0.5000  12 Hg 3.98
2 Hg 0.0000 0.5000 0.0000  2 Br 2.81
3 Hg 0.0000 0.0000 0.5000  2 Br 2.81
4 Hg 0.5000 0.0000 0.0000  2 Br 2.81
5 Br 0.0000 0.0000 0.0000  6 Hg 2.81

Values from the calculation:
- final energy (eV/atom) = -0.656
- formation energy without anion corrections (eV per atom) = 0.925

10.
SiAg2P: relaxed, PBEsol.

a b c (Å): 5.2444 5.7236 5.7236
angles (deg): 77.88 62.73 62.73
With the nearest neighbours (Å) after each atom.
Fractional positions:
1 P 0.7500 0.5000 0.5000  4 Ag 2.58, 2 Si 2.62
2 P 0.0000 0.0000 0.0000  4 Ag 2.58, 2 Si 2.62
3 Si 0.2500 0.5000 0.5000  2 P 2.62, 4 Ag 2.67
4 Si 0.5000 0.0000 0.0000  2 P 2.62, 4 Ag 2.67
5 Ag 0.1161 0.0089 0.5089  2 P 2.58, 2 Ag 2.63, 2 Si 2.67
6 Ag 0.6339 0.9911 0.4911  2 P 2.58, 2 Ag 2.63, 2 Si 2.67
7 Ag 0.3750 0.5089 0.9911  2 P 2.58, 2 Ag 2.63, 2 Si 2.67
8 Ag 0.8750 0.4911 0.0089  2 P 2.58, 2 Ag 2.63, 2 Si 2.67

Values from the calculation:
- final energy (eV/atom) = -4.103
- formation energy without anion corrections (eV per atom) = 0.437
- E above lowest polymorph (meV/atom) = 134

11.
SrMgRh: relaxed, PBEsol.

a b c (Å): 4.8573 4.8573 4.8573
angles (deg): 60.00 60.00 60.00
With the nearest neighbours (Å) after each atom.
Fractional positions:
1 Mg 0.0000 0.0000 0.0000  4 Sr 2.97
2 Rh 0.5000 0.5000 0.5000  4 Sr 2.97
3 Sr 0.2500 0.2500 0.2500  4 Rh 2.97, 4 Mg 2.97

Values from the calculation:
- final energy (eV/atom) = -3.145
- DFT formation energy (meV per atom) = 754

12.
KBa2Pb2: relaxed, PBEsol.

a b c (Å): 4.7075 9.4111 9.4111
angles (deg): 90.00 90.00 90.00
With the nearest neighbours (Å) after each atom.
Fractional positions:
1 Pb 0.0000 0.3817 0.8817  1 Pb 3.15
2 Pb 0.0000 0.8817 0.6183  1 Pb 3.15
3 Pb 0.0000 0.6183 0.1183  1 Pb 3.15
4 Pb 0.0000 0.1183 0.3817  1 Pb 3.15
5 K 0.0000 0.0000 0.0000  4 Pb 3.76, 8 Ba 4.21
6 K 0.0000 0.5000 0.5000  4 Pb 3.76, 8 Ba 4.21
7 Ba 0.5000 0.1719 0.6719  6 Pb 3.64-3.65
8 Ba 0.5000 0.6719 0.8281  6 Pb 3.64-3.65
9 Ba 0.5000 0.8281 0.3281  6 Pb 3.64-3.65
10 Ba 0.5000 0.3281 0.1719  6 Pb 3.64-3.65

Values from the calculation:
- final energy (eV/atom) = -3.091
- DFT formation energy (meV per atom) = -405